1.
First-principles (PBE-GGA) data for a relaxed Dy5TmTl8 crystal, as listed in Alexandria via LeMat-Bulk.

Geometry as CIF:
```
data_Dy5TmTl8
_chemical_formula_sum 'Dy5 Tm1 Tl8'
_cell_length_a 8.017
_cell_length_b 8.017
_cell_length_c 8.017
_cell_angle_alpha 109.27
_cell_angle_beta 109.88
_cell_angle_gamma 109.27
_symmetry_space_group_name_H-M 'P 1'
_symmetry_Int_Tables_number 1
loop_
_symmetry_equiv_pos_as_xyz
'x,y,z'
loop_
_atom_site_label
_atom_site_type_symbol
_atom_site_fract_x
_atom_site_fract_y
_atom_site_fract_z
Dy1 Dy 0.372 0.124 0.002
Dy2 Dy 0.878 0.876 0.248
Dy3 Dy 0.500 0.000 0.500
Dy4 Dy 0.752 0.630 0.628
Dy5 Dy 0.998 0.370 0.122
Tl1 Tl 0.292 0.255 0.380
Tl2 Tl 0.963 0.088 0.708
Tl3 Tl 0.621 0.412 0.874
Tl4 Tl 0.620 0.912 0.874
Tl5 Tl 0.126 0.745 0.037
Tl6 Tl 0.126 0.747 0.538
Tl7 Tl 0.791 0.253 0.379
Tl8 Tl 0.462 0.588 0.209
Tm1 Tm 0.250 0.500 0.750
```



2.
# Dy2Tm5Tl, relaxed, DFT PBE-GGA
data_Dy2Tm5Tl
_chemical_formula_sum 'Dy2 Tm5 Tl1'
_cell_length_a 3.520
_cell_length_b 6.586
_cell_length_c 11.078
_cell_angle_alpha 107.29
_cell_angle_beta 99.08
_cell_angle_gamma 90.00
_symmetry_space_group_name_H-M 'P 1'
_symmetry_Int_Tables_number 1
loop_
_symmetry_equiv_pos_as_xyz
'x,y,z'
loop_
_atom_site_label
_atom_site_type_symbol
_atom_site_fract_x
_atom_site_fract_y
_atom_site_fract_z
Tm1 Tm 0.614 0.863 0.229
Tm2 Tm 0.000 0.500 0.000
Tm3 Tm 0.386 0.137 0.771
Tm4 Tm 0.614 0.366 0.229
Tm5 Tm 0.386 0.634 0.771
Dy1 Dy 0.762 0.261 0.522
Dy2 Dy 0.238 0.739 0.478
Tl1 Tl 0.000 0.000 0.000
# Excess energy over the best structure of this formula in the dataset in meV per atom: 10



3.
First-principles (PBE-GGA) data for a relaxed Dy5TmTl4 crystal, as listed in Alexandria via LeMat-Bulk.

Geometry as CIF:
```
data_Dy5TmTl4
_chemical_formula_sum 'Dy5 Tm1 Tl4'
_cell_length_a 3.622
_cell_length_b 3.622
_cell_length_c 21.509
_cell_angle_alpha 90.00
_cell_angle_beta 90.00
_cell_angle_gamma 90.00
_symmetry_space_group_name_H-M 'P 1'
_symmetry_Int_Tables_number 1
loop_
_symmetry_equiv_pos_as_xyz
'x,y,z'
loop_
_atom_site_label
_atom_site_type_symbol
_atom_site_fract_x
_atom_site_fract_y
_atom_site_fract_z
Tl1 Tl 0.000 0.000 0.209
Tl2 Tl 0.000 0.000 0.597
Tl3 Tl 0.000 0.000 0.403
Tl4 Tl 0.000 0.000 0.791
Dy1 Dy 0.500 0.500 0.695
Dy2 Dy 0.500 0.500 0.888
Dy3 Dy 0.500 0.500 0.500
Dy4 Dy 0.500 0.500 0.112
Dy5 Dy 0.500 0.500 0.305
Tm1 Tm 0.000 0.000 0.000
```



4.
# Dy2Tm5Tl, relaxed, DFT PBE-GGA
data_Dy2Tm5Tl
_chemical_formula_sum 'Dy4 Tm10 Tl2'
_cell_length_a 5.348
_cell_length_b 6.473
_cell_length_c 15.324
_cell_angle_alpha 90.00
_cell_angle_beta 90.00
_cell_angle_gamma 114.40
_symmetry_space_group_name_H-M 'P 1'
_symmetry_Int_Tables_number 1
loop_
_symmetry_equiv_pos_as_xyz
'x,y,z'
loop_
_atom_site_label
_atom_site_type_symbol
_atom_site_fract_x
_atom_site_fract_y
_atom_site_fract_z
Dy1 Dy 0.780 0.560 0.367
Dy2 Dy 0.220 0.440 0.633
Dy3 Dy 0.780 0.560 0.133
Dy4 Dy 0.220 0.440 0.867
Tm1 Tm 0.522 0.045 0.250
Tm2 Tm 0.083 0.166 0.089
Tm3 Tm 0.917 0.834 0.589
Tm4 Tm 0.611 0.221 0.948
Tm5 Tm 0.389 0.779 0.448
Tm6 Tm 0.083 0.166 0.411
Tm7 Tm 0.917 0.834 0.911
Tm8 Tm 0.611 0.221 0.552
Tm9 Tm 0.478 0.955 0.750
Tm10 Tm 0.389 0.779 0.052
Tl1 Tl 0.754 0.508 0.750
Tl2 Tl 0.246 0.492 0.250
# Excess energy over the best structure of this formula in the dataset in meV per atom: 0



5.
# Dy3TmTl4, relaxed, DFT PBE-GGA
data_Dy3TmTl4
_chemical_formula_sum 'Dy3 Tm1 Tl4'
_cell_length_a 3.777
_cell_length_b 3.777
_cell_length_c 15.136
_cell_angle_alpha 90.00
_cell_angle_beta 90.00
_cell_angle_gamma 90.00
_symmetry_space_group_name_H-M 'P 1'
_symmetry_Int_Tables_number 1
loop_
_symmetry_equiv_pos_as_xyz
'x,y,z'
loop_
_atom_site_label
_atom_site_type_symbol
_atom_site_fract_x
_atom_site_fract_y
_atom_site_fract_z
Tl1 Tl 0.000 0.000 0.626
Tl2 Tl 0.000 0.000 0.374
Tl3 Tl 0.000 0.000 0.878
Tl4 Tl 0.000 0.000 0.122
Dy1 Dy 0.500 0.500 0.752
Dy2 Dy 0.500 0.500 0.248
Dy3 Dy 0.500 0.500 0.500
Tm1 Tm 0.500 0.500 0.000
# Excess energy over the best structure of this formula in the dataset in meV per atom: 0



6.
First-principles (PBE-GGA) data for a relaxed Dy5Tm5Tl crystal, as listed in Alexandria via LeMat-Bulk.

Geometry as CIF:
```
data_Dy5Tm5Tl
_chemical_formula_sum 'Dy5 Tm5 Tl1'
_cell_length_a 6.046
_cell_length_b 6.046
_cell_length_c 11.159
_cell_angle_alpha 90.00
_cell_angle_beta 90.00
_cell_angle_gamma 120.00
_symmetry_space_group_name_H-M 'P 1'
_symmetry_Int_Tables_number 1
loop_
_symmetry_equiv_pos_as_xyz
'x,y,z'
loop_
_atom_site_label
_atom_site_type_symbol
_atom_site_fract_x
_atom_site_fract_y
_atom_site_fract_z
Tm1 Tm 0.831 0.662 0.500
Tm2 Tm 0.338 0.169 0.500
Tm3 Tm 0.831 0.169 0.500
Tm4 Tm 0.000 0.000 0.269
Tm5 Tm 0.000 0.000 0.731
Dy1 Dy 0.333 0.667 0.707
Dy2 Dy 0.000 0.000 0.000
Dy3 Dy 0.667 0.333 0.192
Dy4 Dy 0.333 0.667 0.293
Dy5 Dy 0.667 0.333 0.808
Tl1 Tl 0.333 0.667 0.000
```



The evaluated E_form for the records listed, in turn: -0.2242; 0.0109; -0.2723; 0.0006; -0.3314; 0.3184 eV/atom.
The evaluated magnetic moment for the records listed, in turn: 0.000; 0.002; 0.105; 0.004; 0.000; 0.002 μB per formula unit.
The evaluated total DFT energy (no corrections) for the records listed, in turn: -49.6; -33.8; -39.7; -67.8; -30.4; -44.2 eV for the cell shown.